Entry 1:
VASP calculation (PBE-GGA) on crystalline Rb4SiS4 at its relaxed geometry.

## Properties
- Magnetization: 0.00 μB per formula unit
- Electronic total energy: -4.01 eV per atom
- Symmetry: P4_2/nmc
- E_form (uncorrected): -1.148 eV/atom
- Crystal system: tetragonal

a = 7.021 Å, b = 9.164 Å, c = 9.164 Å
α = 90.00°, β = 90.00°, γ = 90.00°
Positions (direct):
Rb: 0.348 0.725 0.000
Rb: 0.848 0.500 0.775
Si: 0.500 0.500 0.500
Rb: 0.652 0.000 0.725
Si: 0.000 0.000 0.000
Rb: 0.848 0.500 0.225
Rb: 0.152 0.775 0.500
S: 0.671 0.304 0.500
S: 0.329 0.500 0.304
S: 0.171 0.000 0.196
S: 0.829 0.196 0.000
S: 0.171 0.000 0.804
S: 0.329 0.500 0.696
Rb: 0.152 0.225 0.500
S: 0.829 0.804 0.000
Rb: 0.652 0.000 0.275
S: 0.671 0.696 0.500
Rb: 0.348 0.275 0.000

Entry 2:
VASP calculation (PBE-GGA) on crystalline LaCeRh at its relaxed geometry.

## Properties
- Magnetization: 0.00 μB per formula unit
- ΔE to the lowest computed polymorph: 14.4 kJ per mole of atoms
- Electronic total energy: -6.45 eV per atom
- Symmetry: P3m1
- Crystal system: trigonal

a = 4.094 Å, b = 4.572 Å, c = 4.572 Å
α = 120.00°, β = 90.00°, γ = 90.00°
Positions (direct):
Ce: 0.294 0.333 0.667
La: 0.680 0.667 0.333
Rh: 0.026 0.000 0.000

Entry 3:
VASP calculation (PBE-GGA) on crystalline BaZn2Sb at its relaxed geometry.

## Properties
- Magnetization: 0.00 μB per formula unit
- Electronic total energy: -2.27 eV per atom
- Symmetry: I-4m2
- E_form (uncorrected): -0.118 eV/atom
- Crystal system: tetragonal

a = 6.077 Å, b = 6.077 Å, c = 6.077 Å
α = 133.72°, β = 133.72°, γ = 67.53°
Positions (direct):
Zn: 0.000 0.000 0.000
Zn: 0.250 0.750 0.500
Ba: 0.500 0.500 0.000
Sb: 0.750 0.250 0.500

Entry 4:
VASP calculation (PBE-GGA) on crystalline Mg3TiCr at its relaxed geometry.

## Properties
- Magnetization: 1.98 μB per formula unit
- ΔE to the lowest computed polymorph: 0.0 kJ per mole of atoms
- Electronic total energy: -3.46 eV per atom
- Symmetry: Pm-3m
- Crystal system: cubic

a = 5.006 Å, b = 5.006 Å, c = 5.006 Å
α = 90.00°, β = 90.00°, γ = 90.00°
Positions (direct):
Mg: 0.000 0.000 0.500
Cr: 0.000 0.000 0.000
Ti: 0.500 0.500 0.500
Mg: 0.000 0.500 0.000
Mg: 0.500 0.000 0.000

Entry 5:
VASP calculation (PBE-GGA) on crystalline YSn2SbTe at its relaxed geometry.

## Properties
- Magnetization: 0.00 μB per formula unit
- Electronic total energy: -4.10 eV per atom
- Symmetry: P4/mmm
- E_form (uncorrected): 0.243 eV/atom
- Crystal system: tetragonal

a = 5.634 Å, b = 5.821 Å, c = 5.634 Å
α = 90.00°, β = 90.00°, γ = 90.00°
Positions (direct):
Sn: 0.000 0.000 0.500
Y: 0.000 0.500 0.000
Sb: 0.000 0.000 0.000
Te: 0.500 0.500 0.500
Sn: 0.500 0.000 0.000

Entry 6:
VASP calculation (PBE-GGA) on crystalline GdY2Pt at its relaxed geometry.

## Properties
- Magnetization: 8.14 μB per formula unit
- ΔE to the lowest computed polymorph: 0.0 kJ per mole of atoms
- Electronic total energy: -8.84 eV per atom
- Symmetry: P4/mmm
- Crystal system: tetragonal

a = 3.568 Å, b = 3.568 Å, c = 8.602 Å
α = 90.00°, β = 90.00°, γ = 90.00°
Positions (direct):
Gd: 0.500 0.500 0.500
Y: 0.000 0.000 0.192
Pt: 0.500 0.500 0.000
Y: 0.000 0.000 0.808

Entry 7:
VASP calculation (PBE-GGA) on crystalline Tl2HgO at its relaxed geometry.

## Properties
- Magnetization: 0.00 μB per formula unit
- ΔE to the lowest computed polymorph: 0.0 kJ per mole of atoms
- Electronic total energy: -2.93 eV per atom
- Symmetry: R3m
- E_form (uncorrected): -0.436 eV/atom
- Crystal system: trigonal

a = 3.626 Å, b = 3.626 Å, c = 9.600 Å
α = 79.11°, β = 79.11°, γ = 60.00°
Positions (direct):
Tl: 0.054 0.054 0.839
O: 0.667 0.667 0.000
Tl: 0.280 0.280 0.161
Hg: 0.500 0.500 0.500

Entry 8:
VASP calculation (PBE-GGA) on crystalline RbRe2IrPb at its relaxed geometry.

## Properties
- Magnetization: 1.13 μB per formula unit
- Electronic total energy: -3.81 eV per atom
- Symmetry: P4/mmm
- Crystal system: tetragonal

a = 4.704 Å, b = 5.390 Å, c = 4.704 Å
α = 90.00°, β = 90.00°, γ = 90.00°
Positions (direct):
Re: 0.000 0.000 0.500
Pb: 0.000 0.500 0.000
Ir: 0.500 0.500 0.500
Re: 0.500 0.000 0.000
Rb: 0.000 0.000 0.000

Entry 9:
VASP calculation (PBE-GGA) on crystalline Ho3Tm4 at its relaxed geometry.

## Properties
- Magnetization: 0.00 μB per formula unit
- Electronic total energy: -4.49 eV per atom
- Symmetry: Immm
- Crystal system: orthorhombic

a = 3.493 Å, b = 4.942 Å, c = 12.615 Å
α = 101.30°, β = 97.96°, γ = 90.00°
Positions (direct):
Tm: 0.428 0.928 0.857
Ho: 0.857 0.357 0.714
Ho: 0.000 0.500 0.000
Tm: 0.572 0.072 0.143
Tm: 0.286 0.786 0.571
Ho: 0.143 0.643 0.286
Tm: 0.714 0.214 0.429

Entry 10:
VASP calculation (PBE-GGA) on crystalline LuV3 at its relaxed geometry.

## Properties
- Magnetization: 0.00 μB per formula unit
- Electronic total energy: -7.57 eV per atom
- Symmetry: Pmm2
- Crystal system: orthorhombic

a = 3.293 Å, b = 4.312 Å, c = 4.851 Å
α = 90.00°, β = 90.00°, γ = 90.00°
Positions (direct):
V: 0.000 0.000 0.915
V: 0.500 0.000 0.533
V: 0.500 0.500 0.855
Lu: 0.000 0.500 0.364

Entry 11:
VASP calculation (PBE-GGA) on crystalline PaSi2Tc2B at its relaxed geometry.

## Properties
- Magnetization: 0.00 μB per formula unit
- Electronic total energy: -8.56 eV per atom
- Symmetry: P4/mmm
- E_form (uncorrected): -0.604 eV/atom
- Crystal system: tetragonal

a = 4.200 Å, b = 4.200 Å, c = 5.193 Å
α = 90.00°, β = 90.00°, γ = 90.00°
Positions (direct):
Si: 0.500 0.500 0.726
Tc: 0.000 0.500 0.000
B: 0.000 0.000 0.000
Si: 0.500 0.500 0.274
Pa: 0.000 0.000 0.500
Tc: 0.500 0.000 0.000

Entry 12:
VASP calculation (PBE-GGA) on crystalline Al2ZnCr at its relaxed geometry.

## Properties
- Magnetization: 0.00 μB per formula unit
- Electronic total energy: -4.12 eV per atom
- Symmetry: I-42d
- Crystal system: tetragonal

a = 6.832 Å, b = 6.832 Å, c = 5.503 Å
α = 51.63°, β = 51.63°, γ = 90.00°
Positions (direct):
Cr: 0.500 0.500 0.000
Cr: 0.250 0.750 0.500
Zn: 0.750 0.250 0.500
Al: 0.633 0.125 0.250
Al: 0.875 0.883 0.750
Zn: 0.000 0.000 0.000
Al: 0.117 0.625 0.250
Al: 0.375 0.367 0.750

Entry 13:
VASP calculation (PBE-GGA) on crystalline AlSeCl2 at its relaxed geometry.

## Properties
- Magnetization: 0.00 μB per formula unit
- ΔE to the lowest computed polymorph: 108.3 kJ per mole of atoms
- Electronic total energy: -2.52 eV per atom
- Symmetry: I4/mmm
- E_form (uncorrected): 0.214 eV/atom
- Crystal system: tetragonal

a = 5.321 Å, b = 5.321 Å, c = 5.321 Å
α = 132.44°, β = 132.44°, γ = 69.53°
Positions (direct):
Cl: 0.000 0.000 0.000
Se: 0.250 0.750 0.500
Cl: 0.500 0.500 0.000
Al: 0.750 0.250 0.500

Entry 14:
VASP calculation (PBE-GGA) on crystalline ZnAg2P at its relaxed geometry.

## Properties
- Magnetization: 0.00 μB per formula unit
- ΔE to the lowest computed polymorph: 3.5 kJ per mole of atoms
- Electronic total energy: -2.90 eV per atom
- Symmetry: I4/mmm
- Crystal system: tetragonal

a = 5.028 Å, b = 5.028 Å, c = 5.028 Å
α = 133.07°, β = 133.07°, γ = 68.55°
Positions (direct):
Ag: 0.750 0.250 0.500
Ag: 0.250 0.750 0.500
P: 0.000 0.000 0.000
Zn: 0.500 0.500 0.000

Entry 15:
VASP calculation (PBE-GGA) on crystalline CeNd2Dy6 at its relaxed geometry.

## Properties
- Magnetization: 1.75 μB per formula unit
- Electronic total energy: -4.69 eV per atom
- Symmetry: P-3
- Crystal system: trigonal

a = 3.530 Å, b = 9.782 Å, c = 9.782 Å
α = 120.00°, β = 90.00°, γ = 90.00°
Positions (direct):
Dy: 0.769 0.349 0.327
Dy: 0.769 0.978 0.651
Nd: 0.263 0.667 0.333
Dy: 0.231 0.327 0.978
Dy: 0.231 0.651 0.673
Nd: 0.737 0.333 0.667
Dy: 0.769 0.673 0.022
Dy: 0.231 0.022 0.349
Ce: 0.500 0.000 0.000

Entry 16:
VASP calculation (PBE-GGA) on crystalline YSiOs2 at its relaxed geometry.

## Properties
- Magnetization: 0.00 μB per formula unit
- Electronic total energy: -8.32 eV per atom
- Symmetry: Pmmm
- E_form (uncorrected): 0.270 eV/atom
- Crystal system: orthorhombic

a = 3.282 Å, b = 4.784 Å, c = 4.243 Å
α = 90.00°, β = 90.00°, γ = 90.00°
Positions (direct):
Y: 0.000 0.500 0.500
Os: 0.500 0.500 0.000
Os: 0.000 0.000 0.000
Si: 0.500 0.000 0.500

Entry 17:
VASP calculation (PBE-GGA) on crystalline AgSn2Ge at its relaxed geometry.

## Properties
- Magnetization: 0.00 μB per formula unit
- Electronic total energy: -3.71 eV per atom
- Symmetry: P4/mmm
- Crystal system: tetragonal

a = 4.324 Å, b = 4.624 Å, c = 4.624 Å
α = 90.00°, β = 90.00°, γ = 90.00°
Positions (direct):
Ge: 0.500 0.000 0.000
Sn: 0.000 0.000 0.500
Ag: 0.500 0.500 0.500
Sn: 0.000 0.500 0.000

Entry 18:
VASP calculation (PBE-GGA) on crystalline Ce2Zn3Ni2 at its relaxed geometry.

## Properties
- Magnetization: 0.66 μB per formula unit
- ΔE to the lowest computed polymorph: 0.0 kJ per mole of atoms
- Electronic total energy: -4.25 eV per atom
- Symmetry: C2/m
- Crystal system: monoclinic

a = 4.141 Å, b = 5.178 Å, c = 6.948 Å
α = 110.66°, β = 90.00°, γ = 113.57°
Positions (direct):
Ni: 0.140 0.279 0.205
Zn: 0.367 0.734 0.562
Zn: 0.500 0.000 0.000
Ce: 0.859 0.719 0.224
Zn: 0.633 0.266 0.438
Ni: 0.860 0.721 0.795
Ce: 0.141 0.281 0.776

Entry 19:
VASP calculation (PBE-GGA) on crystalline AcPr2Au at its relaxed geometry.

## Properties
- Magnetization: 0.00 μB per formula unit
- ΔE to the lowest computed polymorph: 29.7 kJ per mole of atoms
- Electronic total energy: -4.32 eV per atom
- Symmetry: R-3m
- Crystal system: trigonal

a = 3.917 Å, b = 3.917 Å, c = 11.615 Å
α = 80.29°, β = 80.29°, γ = 60.00°
Positions (direct):
Au: 0.500 0.500 0.500
Ac: 0.000 0.000 0.000
Pr: 0.892 0.892 0.325
Pr: 0.108 0.108 0.675

Entry 20:
VASP calculation (PBE-GGA) on crystalline KPuTiO6 at its relaxed geometry.

## Properties
- Magnetization: 1.00 μB per formula unit
- Electronic total energy: -8.38 eV per atom
- Symmetry: P-31c
- E_form (uncorrected): -2.488 eV/atom
- Crystal system: trigonal

a = 5.390 Å, b = 5.390 Å, c = 11.887 Å
α = 90.00°, β = 90.00°, γ = 120.00°
Positions (direct):
K: 0.000 0.000 0.500
Ti: 0.333 0.667 0.750
O: 0.382 0.004 0.159
O: 0.004 0.382 0.659
O: 0.996 0.379 0.159
Pu: 0.333 0.667 0.250
Pu: 0.667 0.333 0.750
O: 0.004 0.621 0.841
O: 0.621 0.618 0.159
O: 0.618 0.996 0.841
O: 0.621 0.004 0.341
O: 0.996 0.618 0.341
O: 0.379 0.382 0.841
O: 0.618 0.621 0.659
O: 0.379 0.996 0.659
K: 0.000 0.000 0.000
Ti: 0.667 0.333 0.250
O: 0.382 0.379 0.341

Entry 21:
VASP calculation (PBE-GGA) on crystalline Li3MgSb2 at its relaxed geometry.

## Properties
- Magnetization: 0.00 μB per formula unit
- Electronic total energy: -3.07 eV per atom
- Symmetry: Ibam
- E_form (uncorrected): -0.469 eV/atom
- Crystal system: orthorhombic

a = 5.942 Å, b = 6.045 Å, c = 8.570 Å
α = 110.65°, β = 110.28°, γ = 90.00°
Positions (direct):
Li: 0.425 0.680 0.360
Li: 0.500 0.750 0.000
Sb: 0.613 0.871 0.741
Mg: 0.000 0.250 0.000
Li: 0.065 0.820 0.640
Sb: 0.871 0.629 0.259
Li: 0.500 0.250 0.000
Sb: 0.387 0.129 0.259
Li: 0.575 0.320 0.640
Mg: 0.000 0.750 0.000
Li: 0.935 0.180 0.360
Sb: 0.129 0.371 0.741

Entry 22:
VASP calculation (PBE-GGA) on crystalline LuScGe at its relaxed geometry.

## Properties
- Magnetization: 0.00 μB per formula unit
- ΔE to the lowest computed polymorph: 0.0 kJ per mole of atoms
- Electronic total energy: -5.67 eV per atom
- Symmetry: F-43m
- Crystal system: cubic

a = 4.674 Å, b = 4.674 Å, c = 4.674 Å
α = 60.00°, β = 60.00°, γ = 60.00°
Positions (direct):
Sc: 0.500 0.500 0.500
Ge: 0.250 0.250 0.250
Lu: 0.000 0.000 0.000

Entry 23:
VASP calculation (PBE-GGA) on crystalline Th6RhAu3 at its relaxed geometry.

## Properties
- Magnetization: 0.00 μB per formula unit
- Electronic total energy: -6.64 eV per atom
- Symmetry: P2_1/m
- Crystal system: monoclinic

a = 3.900 Å, b = 14.090 Å, c = 13.226 Å
α = 131.88°, β = 90.00°, γ = 90.00°
Positions (direct):
Th: 0.250 0.221 0.794
Rh: 0.250 0.957 0.265
Th: 0.250 0.512 0.395
Th: 0.750 0.112 0.505
Th: 0.750 0.779 0.206
Th: 0.750 0.370 0.079
Rh: 0.750 0.043 0.735
Au: 0.750 0.265 0.218
Th: 0.750 0.802 0.665
Th: 0.750 0.488 0.605
Th: 0.250 0.630 0.921
Th: 0.750 0.922 0.044
Au: 0.750 0.654 0.348
Th: 0.250 0.198 0.335
Th: 0.250 0.078 0.956
Au: 0.250 0.346 0.652
Au: 0.750 0.435 0.878
Au: 0.250 0.565 0.122
Th: 0.250 0.888 0.495
Au: 0.250 0.735 0.782

Entry 24:
VASP calculation (PBE-GGA) on crystalline La6ZnTe5 at its relaxed geometry.

## Properties
- Magnetization: 0.00 μB per formula unit
- Electronic total energy: -5.25 eV per atom
- Symmetry: C2/m
- E_form (uncorrected): -1.368 eV/atom
- Crystal system: monoclinic

a = 7.894 Å, b = 7.925 Å, c = 7.906 Å
α = 59.92°, β = 80.37°, γ = 70.49°
Positions (direct):
Te: 0.000 0.665 0.670
La: 0.758 0.403 0.677
La: 0.242 0.920 0.677
Te: 0.500 0.500 0.000
Te: 0.500 0.172 0.655
La: 0.758 0.080 0.323
Te: 0.000 0.335 0.330
La: 0.247 0.240 0.000
La: 0.753 0.760 0.000
Zn: 0.000 0.000 0.000
Te: 0.500 0.828 0.345
La: 0.242 0.597 0.323

Entry 25:
VASP calculation (PBE-GGA) on crystalline SnPd12Pt7 at its relaxed geometry.

## Properties
- Magnetization: 0.00 μB per formula unit
- Electronic total energy: -5.35 eV per atom
- Symmetry: R-3
- Crystal system: trigonal

a = 6.917 Å, b = 6.917 Å, c = 6.917 Å
α = 87.57°, β = 87.57°, γ = 87.57°
Positions (direct):
Pt: 0.057 0.141 0.378
Pt: 0.622 0.943 0.859
Pd: 0.493 0.378 0.857
Pd: 0.274 0.748 0.865
Sn: 0.000 0.000 0.000
Pt: 0.943 0.859 0.622
Pd: 0.748 0.865 0.274
Pt: 0.500 0.500 0.500
Pd: 0.507 0.622 0.143
Pd: 0.252 0.135 0.726
Pd: 0.857 0.493 0.378
Pd: 0.622 0.143 0.507
Pd: 0.865 0.274 0.748
Pt: 0.859 0.622 0.943
Pd: 0.378 0.857 0.493
Pt: 0.141 0.378 0.057
Pt: 0.378 0.057 0.141
Pd: 0.143 0.507 0.622
Pd: 0.135 0.726 0.252
Pd: 0.726 0.252 0.135